La2ZnHgPt: optimized geometry, PBE-GGA.

## Properties
Energy above the lowest structure with this stoichiometry (meV per atom): 773.6
Size of the total moment (μB/atom): 0.00
Energy of formation (eV per atom): 0.0648

CIF file:
```
data_La2ZnHgPt
_symmetry_space_group_name_H-M 'P 1'
_symmetry_Int_Tables_number 1
_cell_length_a 5.624
_cell_length_b 4.725
_cell_length_c 5.624
_cell_angle_alpha 90.00
_cell_angle_beta 90.00
_cell_angle_gamma 90.00
loop_
_symmetry_equiv_pos_as_xyz
'x,y,z'
loop_
_atom_site_label
_atom_site_type_symbol
_atom_site_fract_x
_atom_site_fract_y
_atom_site_fract_z
_atom_site_occupancy
Zn1 Zn 0.000 0.000 0.000 1
Hg1 Hg 0.000 0.500 0.000 1
Pt1 Pt 0.500 0.500 0.500 1
La1 La 0.000 0.000 0.500 1
La2 La 0.500 0.000 0.000 1
```


La2PuHg6: optimized geometry, PBE-GGA.

## Properties
Size of the total moment (μB/atom): 0.72
Energy of formation (eV per atom): -0.3780

CIF file:
```
data_La2PuHg6
_symmetry_space_group_name_H-M 'P 1'
_symmetry_Int_Tables_number 1
_cell_length_a 3.422
_cell_length_b 8.876
_cell_length_c 8.876
_cell_angle_alpha 120.00
_cell_angle_beta 90.00
_cell_angle_gamma 90.00
loop_
_symmetry_equiv_pos_as_xyz
'x,y,z'
loop_
_atom_site_label
_atom_site_type_symbol
_atom_site_fract_x
_atom_site_fract_y
_atom_site_fract_z
_atom_site_occupancy
La1 La 0.000 0.333 0.667 1
La2 La 0.000 0.667 0.333 1
Pu1 Pu 0.000 0.000 0.000 1
Hg1 Hg 0.500 0.332 0.331 1
Hg2 Hg 0.500 0.668 0.668 1
Hg3 Hg 0.500 0.000 0.668 1
Hg4 Hg 0.500 0.668 0.000 1
Hg5 Hg 0.500 0.332 0.000 1
Hg6 Hg 0.500 0.000 0.331 1
```